Entry from Alexandria: crystalline LiCeGa2Cu2 at its relaxed geometry (GGA-PBE).

Space-group type: No. 164
E_tot (eV/atom): -3.996

Structure (POSCAR):
```
LiCeGa2Cu2
1.0
4.2539 0.0000 0.0000
-2.1269 3.6839 0.0000
0.0000 0.0000 6.7579
Li Ce Ga Cu
1 1 2 2
direct
0.0000 0.0000 0.0000
0.0000 0.0000 0.5000
0.3333 0.6667 0.7963
0.6667 0.3333 0.2037
0.3333 0.6667 0.1811
0.6667 0.3333 0.8189
```

Entry from Alexandria: crystalline LaYCuRe2 at its relaxed geometry (GGA-PBE).

Space-group type: No. 123
E_tot (eV/atom): -6.453

Structure (POSCAR):
```
LaYCuRe2
1.0
4.9922 0.0000 0.0000
0.0000 4.9922 0.0000
0.0000 0.0000 4.9740
La Y Cu Re
1 1 1 2
direct
0.0000 0.0000 0.0000
0.5000 0.5000 0.5000
0.5000 0.5000 0.0000
0.0000 0.5000 0.5000
0.5000 0.0000 0.5000
```

Entry from Alexandria: crystalline SrBe3Au at its relaxed geometry (GGA-PBE).

Space-group type: No. 221
Polymorph energy (0 for the lowest one) (kJ/mol of atoms): 196.8

Structure (POSCAR):
```
SrBe3Au
1.0
5.6530 0.0000 0.0000
0.0000 5.6530 0.0000
0.0000 0.0000 5.6530
Sr Be Au
1 3 1
direct
0.0000 0.0000 0.0000
0.0000 0.0000 0.5000
0.0000 0.5000 0.0000
0.5000 0.0000 0.0000
0.5000 0.5000 0.5000
```

Entry from Alexandria: crystalline KPuGaF6 at its relaxed geometry (GGA-PBE).

Energy relative to the elements, uncorrected (meV per atom): -2931
Space-group type: No. 163

Structure (POSCAR):
```
KPuGaF6
1.0
6.4883 0.0000 0.0000
-3.2441 5.6190 0.0000
0.0000 0.0000 10.1100
K Pu Ga F
2 2 2 12
direct
0.0000 0.0000 0.0000
0.0000 0.0000 0.5000
0.3333 0.6667 0.2500
0.6667 0.3333 0.7500
0.3333 0.6667 0.7500
0.6667 0.3333 0.2500
0.0501 0.3859 0.1354
0.0501 0.6642 0.3646
0.3358 0.3859 0.3646
0.3358 0.9499 0.1354
0.3859 0.0501 0.6354
0.3859 0.3358 0.8646
0.6141 0.6642 0.1354
0.6141 0.9499 0.3646
0.6642 0.0501 0.8646
0.6642 0.6141 0.6354
0.9499 0.3358 0.6354
0.9499 0.6141 0.8646
```

Entry from Alexandria: crystalline Ho2Fe3Ge5 at its relaxed geometry (GGA-PBE).

Space-group type: No. 72
E_tot (eV/atom): -6.238

Structure (POSCAR):
```
Ho2Fe3Ge5
1.0
-4.7718 6.0406 2.7979
4.7718 -6.0406 2.7979
4.7718 6.0406 -2.7979
Ho Fe Ge
4 6 10
direct
0.1430 0.2302 0.3732
0.3570 0.7302 0.0872
0.6430 0.2698 0.9128
0.8570 0.7698 0.6268
0.1464 0.9102 0.0566
0.2500 0.7500 0.5000
0.3536 0.4102 0.7638
0.6464 0.5898 0.2362
0.7500 0.2500 0.5000
0.8536 0.0898 0.9434
0.0401 0.7500 0.2901
0.0852 0.6778 0.7630
0.2500 0.2500 0.0000
0.4148 0.1778 0.5927
0.4599 0.7500 0.7099
0.5401 0.2500 0.2901
0.5852 0.8222 0.4073
0.7500 0.7500 0.0000
0.9148 0.3222 0.2370
0.9599 0.2500 0.7099
```

Entry from Alexandria: crystalline IrSe2Br at its relaxed geometry (GGA-PBE).

Energy relative to the elements, uncorrected (meV per atom): 864
Space-group type: No. 123
Polymorph energy (0 for the lowest one) (kJ/mol of atoms): 105.4

Structure (POSCAR):
```
IrSe2Br
1.0
4.9376 0.0000 0.0000
0.0000 4.9376 0.0000
0.0000 0.0000 3.0394
Ir Se Br
1 2 1
direct
0.0000 0.0000 0.0000
0.0000 0.5000 0.5000
0.5000 0.0000 0.5000
0.5000 0.5000 0.0000
```

Entry from Alexandria: crystalline Cd6AgHg3 at its relaxed geometry (GGA-PBE).

Space-group type: No. 160
E_tot (eV/atom): -0.846

Structure (POSCAR):
```
Cd6AgHg3
1.0
9.1912 5.3066 1.0143
-9.1912 5.3066 1.0143
0.0000 -10.6131 1.0143
Cd Ag Hg
6 1 3
direct
0.0918 0.0918 0.8164
0.0918 0.8164 0.0918
0.3756 0.3756 0.6157
0.3756 0.6157 0.3756
0.6157 0.3756 0.3756
0.8164 0.0918 0.0918
0.9684 0.9684 0.9684
0.2154 0.7324 0.7324
0.7324 0.2154 0.7324
0.7324 0.7324 0.2154
```

Entry from Alexandria: crystalline MnIrOs2 at its relaxed geometry (GGA-PBE).

Space-group type: No. 71
Polymorph energy (0 for the lowest one) (kJ/mol of atoms): 24.2

Structure (POSCAR):
```
MnIrOs2
1.0
-1.4046 2.1606 4.6851
1.4046 -2.1606 4.6851
1.4046 2.1606 -4.6851
Mn Ir Os
1 1 2
direct
0.0000 0.0000 0.0000
0.5000 0.5000 0.0000
0.2172 0.7172 0.5000
0.7828 0.2828 0.5000
```

Entry from Alexandria: crystalline K3In2I5 at its relaxed geometry (GGA-PBE).

Energy relative to the elements, uncorrected (meV per atom): -1069
Space-group type: No. 12

Structure (POSCAR):
```
K3In2I5
1.0
8.3250 -2.5168 0.0000
8.3250 2.5168 0.0000
-6.0483 0.0000 10.7487
K In I
3 2 5
direct
0.0000 0.0000 0.0000
0.2000 0.2000 0.7979
0.8000 0.8000 0.2021
0.4006 0.4006 0.5983
0.5994 0.5994 0.4017
0.0000 0.0000 0.5000
0.1990 0.1990 0.3026
0.4006 0.4006 0.1018
0.5994 0.5994 0.8982
0.8010 0.8010 0.6974
```

Entry from Alexandria: crystalline Pm3Pr5Er2 at its relaxed geometry (GGA-PBE).

Space-group type: No. 15
E_tot (eV/atom): -4.562

Structure (POSCAR):
```
Pm3Pr5Er2
1.0
5.4482 -7.4821 0.0000
5.4482 7.4821 0.0000
-5.4441 0.0000 8.5832
Pm Pr Er
6 10 4
direct
0.0200 0.9800 0.7500
0.2217 0.4722 0.4427
0.4722 0.2217 0.9427
0.5278 0.7783 0.0573
0.7783 0.5278 0.5573
0.9800 0.0200 0.2500
0.1225 0.3693 0.7455
0.2270 0.7730 0.7500
0.2690 0.7310 0.2500
0.3693 0.1225 0.2455
0.4781 0.5219 0.2500
0.5219 0.4781 0.7500
0.6307 0.8775 0.7545
0.7310 0.2690 0.7500
0.7730 0.2270 0.2500
0.8775 0.6307 0.2545
0.0310 0.2778 0.0580
0.2778 0.0310 0.5580
0.7222 0.9690 0.4420
0.9690 0.7222 0.9420
```

Entry from Alexandria: crystalline YCdCl2 at its relaxed geometry (GGA-PBE).

Energy relative to the elements, uncorrected (meV per atom): -818
Space-group type: No. 166
Polymorph energy (0 for the lowest one) (kJ/mol of atoms): 47.2

Structure (POSCAR):
```
YCdCl2
1.0
1.8554 1.0712 10.2222
-1.8554 1.0712 10.2222
0.0000 -2.1424 10.2222
Y Cd Cl
1 1 2
direct
0.0000 0.0000 0.0000
0.5000 0.5000 0.5000
0.0815 0.0815 0.0815
0.9185 0.9185 0.9185
```

Entry from Alexandria: crystalline CeY2Ga2 at its relaxed geometry (GGA-PBE).

Space-group type: No. 12
E_tot (eV/atom): -5.389

Structure (POSCAR):
```
CeY2Ga2
1.0
5.9222 -2.3342 0.0000
5.9222 2.3342 0.0000
-5.2185 0.0000 9.2790
Ce Y Ga
2 4 4
direct
0.1986 0.1986 0.3579
0.8014 0.8014 0.6421
0.3138 0.3138 0.9017
0.4730 0.4730 0.3087
0.5270 0.5270 0.6913
0.6862 0.6862 0.0983
0.0530 0.0530 0.9166
0.1208 0.1208 0.5875
0.8792 0.8792 0.4125
0.9470 0.9470 0.0834
```